1.
NaPm2Si, optimized geometry, DFT GGA-PBE; Fermi-level density of states = 4.617 states/eV/cell; uncorrected energy = -4.2023 eV/atom
1.0
-1.671 -1.826 2.821
3.044 -2.158 0.406
3.146 5.454 5.392
Na Si Pm
1 1 2
direct
0.500 0.500 0.500
0.500 0.500 0.000
0.000 0.000 0.810
0.000 0.000 0.190



2.
Cd5In6Hg, optimized geometry, DFT GGA-PBE; formation energy = 0.028 eV/atom; Fermi-level density of states = 4.057 states/eV/cell
1.0
-1.795 4.103 1.440
-5.346 -6.227 2.883
7.357 -1.229 4.475
In Hg Cd
6 1 5
direct
0.251 0.085 0.418
0.749 0.582 0.915
0.750 0.252 0.252
0.250 0.748 0.748
0.251 0.418 0.085
0.749 0.915 0.582
0.000 0.000 0.000
0.500 0.167 0.833
0.000 0.332 0.668
0.500 0.500 0.500
0.000 0.668 0.332
0.500 0.833 0.167



3.
LaTc2Rh, optimized geometry, DFT GGA-PBE; formation energy = 0.289 eV/atom; Fermi-level density of states = 3.104 states/eV/cell; energy above the lowest structure with this stoichiometry = 0.234 eV per atom
1.0
-1.368 -0.418 -5.171
-3.922 -3.604 -0.647
1.172 4.636 2.433
La Rh Tc
1 1 2
direct
0.500 0.500 0.000
0.217 0.717 0.500
0.989 0.989 0.000
0.795 0.295 0.500



4.
ErMgSiPd, optimized geometry, DFT GGA-PBE; Fermi-level density of states = 1.721 states/eV/cell; uncorrected energy = -4.7856 eV/atom
1.0
-2.913 -0.185 -3.737
-1.901 -4.138 -1.322
-4.631 -0.794 0.640
Si Mg Pd Er
1 1 1 1
direct
0.750 0.750 0.750
0.500 0.500 0.500
0.250 0.250 0.250
0.000 0.000 0.000